# 1
# LiAlZn2 (SCAN, single point on PBEsol structure)
data_LiAlZn2
_chemical_formula_sum 'Li2 Al2 Zn4'
_cell_length_a 3.887
_cell_length_b 3.887
_cell_length_c 7.617
_cell_angle_alpha 90.00
_cell_angle_beta 90.00
_cell_angle_gamma 90.00
_symmetry_space_group_name_H-M 'I 4/m m m'
_symmetry_Int_Tables_number 139
_symmetry_space_group_name_Hall '-I 4 2'
loop_
_atom_site_label
_atom_site_type_symbol
_atom_site_fract_x
_atom_site_fract_y
_atom_site_fract_z
_atom_site_occupancy
Li1 Li 0.000 0.000 0.000 1
Al1 Al 0.000 0.000 0.500 1
Zn1 Zn 0.000 0.500 0.250 1
# Calculated formation energy in eV/f.u.: -0.6

# 2
# LiAlZn2 (SCAN, single point on PBEsol structure)
data_LiAlZn2
_chemical_formula_sum 'Li1 Al1 Zn2'
_cell_length_a 3.911
_cell_length_b 3.911
_cell_length_c 3.767
_cell_angle_alpha 90.00
_cell_angle_beta 90.00
_cell_angle_gamma 90.00
_symmetry_space_group_name_H-M 'P 4/m m m'
_symmetry_Int_Tables_number 123
_symmetry_space_group_name_Hall '-P 4 2'
loop_
_atom_site_label
_atom_site_type_symbol
_atom_site_fract_x
_atom_site_fract_y
_atom_site_fract_z
_atom_site_occupancy
Li1 Li 0.000 0.000 0.000 1
Al1 Al 0.500 0.500 0.000 1
Zn1 Zn 0.000 0.500 0.500 1
# Calculated formation energy in eV/f.u.: -0.6

# 3
# LiAlZn2 (SCAN, single point on PBEsol structure)
data_LiAlZn2
_chemical_formula_sum 'Li2 Al2 Zn4'
_cell_length_a 4.172
_cell_length_b 2.796
_cell_length_c 10.200
_cell_angle_alpha 90.00
_cell_angle_beta 90.00
_cell_angle_gamma 90.00
_symmetry_space_group_name_H-M 'A m m 2'
_symmetry_Int_Tables_number 38
loop_
_symmetry_equiv_pos_as_xyz
'x,y,z'
'-x,-y,z'
'-x,y,z'
'x,-y,z'
'x,y+1/2,z+1/2'
'-x,-y+1/2,z+1/2'
'-x,y+1/2,z+1/2'
'x,-y+1/2,z+1/2'
loop_
_atom_site_label
_atom_site_type_symbol
_atom_site_fract_x
_atom_site_fract_y
_atom_site_fract_z
_atom_site_occupancy
Li1 Li 0.000 0.000 0.000 1
Al1 Al 0.500 0.000 0.659 1
Zn1 Zn 0.000 0.000 0.260 1
Zn2 Zn 0.500 0.000 0.401 1
# Calculated formation energy in eV/f.u.: -0.6

# 4
# Li2AlZn (SCAN, single point on PBEsol structure)
data_Li2AlZn
_chemical_formula_sum 'Li4 Al2 Zn2'
_cell_length_a 3.205
_cell_length_b 4.208
_cell_length_c 8.847
_cell_angle_alpha 90.00
_cell_angle_beta 90.00
_cell_angle_gamma 90.00
_symmetry_space_group_name_H-M 'I m m m'
_symmetry_Int_Tables_number 71
_symmetry_space_group_name_Hall '-I 2 2'
loop_
_atom_site_label
_atom_site_type_symbol
_atom_site_fract_x
_atom_site_fract_y
_atom_site_fract_z
_atom_site_occupancy
Li1 Li 0.000 0.000 0.242 1
Al1 Al 0.000 0.500 0.000 1
Zn1 Zn 0.000 0.500 0.500 1
# Calculated formation energy in eV/f.u.: -0.6